# Lu4Sc2S3N3, relaxed, DFT PBE
data_Lu4Sc2S3N3
_cell_length_a 5.986
_cell_length_b 5.986
_cell_length_c 12.622
_cell_angle_alpha 103.71
_cell_angle_beta 103.71
_cell_angle_gamma 60.00
_space_group_name_H-M_alt 'P 1'
_space_group_IT_number 1
_space_group_name_Hall 'P 1'
loop_
_atom_site_label
_atom_site_type_symbol
_atom_site_fract_x
_atom_site_fract_y
_atom_site_fract_z
Lu1 Lu 0.033 0.202 0.103
Lu2 Lu 0.133 0.299 0.397
Lu3 Lu 0.202 0.033 0.603
Lu4 Lu 0.299 0.133 0.897
Lu5 Lu 0.701 0.867 0.103
Lu6 Lu 0.798 0.967 0.397
Lu7 Lu 0.867 0.701 0.603
Lu8 Lu 0.967 0.798 0.897
Sc1 Sc 0.367 0.533 0.099
Sc2 Sc 0.467 0.633 0.401
Sc3 Sc 0.533 0.367 0.599
Sc4 Sc 0.633 0.467 0.901
S1 S 0.093 0.907 0.250
S2 S 0.260 0.416 0.750
S3 S 0.416 0.260 0.250
S4 S 0.584 0.740 0.750
S5 S 0.740 0.584 0.250
S6 S 0.907 0.093 0.750
N1 N 0.000 0.500 0.000
N2 N 0.170 0.665 0.500
N3 N 0.335 0.830 0.000
N4 N 0.500 0.000 0.500
N5 N 0.665 0.170 0.000
N6 N 0.830 0.335 0.500
# Energy, eV for the cell shown: -181.0